Run i
# NaSnIN2 GGA-PBE optimized geometry
# symmetry: P4/mmm (123)
data_NaSnIN2
_chemical_formula_sum 'Na1 Sn1 I1 N2'
_cell_length_a 4.691
_cell_length_b 4.691
_cell_length_c 5.788
_cell_angle_alpha 90.00
_cell_angle_beta 90.00
_cell_angle_gamma 90.00
_space_group_name_H-M_alt 'P 1'
_space_group_IT_number 1
loop_
_space_group_symop_operation_xyz
'x,y,z'
loop_
_atom_site_label
_atom_site_type_symbol
_atom_site_fract_x
_atom_site_fract_y
_atom_site_fract_z
Na1 Na 0.000 0.000 0.000
Sn1 Sn 0.500 0.500 0.500
I1 I 0.000 0.000 0.500
N1 N 0.000 0.500 0.000
N2 N 0.500 0.000 0.000

=====

Run ii
# NaSnIN2 GGA-PBE optimized geometry
# symmetry: P4/mmm (123)
data_NaSnIN2
_chemical_formula_sum 'Na1 Sn1 I1 N2'
_cell_length_a 4.214
_cell_length_b 4.214
_cell_length_c 6.594
_cell_angle_alpha 90.00
_cell_angle_beta 90.00
_cell_angle_gamma 90.00
_space_group_name_H-M_alt 'P 1'
_space_group_IT_number 1
loop_
_space_group_symop_operation_xyz
'x,y,z'
loop_
_atom_site_label
_atom_site_type_symbol
_atom_site_fract_x
_atom_site_fract_y
_atom_site_fract_z
Na1 Na 0.000 0.000 0.000
Sn1 Sn 0.500 0.500 0.500
I1 I 0.500 0.500 0.000
N1 N 0.000 0.500 0.500
N2 N 0.500 0.000 0.500

=====

Which structure is most stable? run ii, by 845 meV per atom over the runner-up.

=====

Run i
# NaSrIN2 GGA-PBE optimized geometry
# symmetry: P4/mmm (123)
data_NaSrIN2
_chemical_formula_sum 'Na1 Sr1 I1 N2'
_cell_length_a 4.764
_cell_length_b 4.764
_cell_length_c 5.529
_cell_angle_alpha 90.00
_cell_angle_beta 90.00
_cell_angle_gamma 90.00
_space_group_name_H-M_alt 'P 1'
_space_group_IT_number 1
loop_
_space_group_symop_operation_xyz
'x,y,z'
loop_
_atom_site_label
_atom_site_type_symbol
_atom_site_fract_x
_atom_site_fract_y
_atom_site_fract_z
Na1 Na 0.000 0.000 0.000
Sr1 Sr 0.500 0.500 0.500
I1 I 0.000 0.000 0.500
N1 N 0.000 0.500 0.000
N2 N 0.500 0.000 0.000

=====

Run ii
# NaSrIN2 GGA-PBE optimized geometry
# symmetry: P4/mmm (123)
data_NaSrIN2
_chemical_formula_sum 'Na1 Sr1 I1 N2'
_cell_length_a 4.997
_cell_length_b 4.997
_cell_length_c 6.710
_cell_angle_alpha 90.00
_cell_angle_beta 90.00
_cell_angle_gamma 90.00
_space_group_name_H-M_alt 'P 1'
_space_group_IT_number 1
loop_
_space_group_symop_operation_xyz
'x,y,z'
loop_
_atom_site_label
_atom_site_type_symbol
_atom_site_fract_x
_atom_site_fract_y
_atom_site_fract_z
Na1 Na 0.000 0.000 0.000
Sr1 Sr 0.500 0.500 0.500
I1 I 0.500 0.500 0.000
N1 N 0.000 0.500 0.500
N2 N 0.500 0.000 0.500

=====

Which structure is most stable? run ii, by 233 meV per atom over the runner-up.

=====

Run i
# NaTaIN2 GGA-PBE optimized geometry
# symmetry: P4/mmm (123)
data_NaTaIN2
_chemical_formula_sum 'Na1 Ta1 I1 N2'
_cell_length_a 4.382
_cell_length_b 4.382
_cell_length_c 5.066
_cell_angle_alpha 90.00
_cell_angle_beta 90.00
_cell_angle_gamma 90.00
_space_group_name_H-M_alt 'P 1'
_space_group_IT_number 1
loop_
_space_group_symop_operation_xyz
'x,y,z'
loop_
_atom_site_label
_atom_site_type_symbol
_atom_site_fract_x
_atom_site_fract_y
_atom_site_fract_z
Na1 Na 0.000 0.000 0.000
Ta1 Ta 0.500 0.500 0.000
I1 I 0.000 0.000 0.500
N1 N 0.000 0.500 0.500
N2 N 0.500 0.000 0.500

=====

Run ii
# NaTaIN2 GGA-PBE optimized geometry
# symmetry: P4/mmm (123)
data_NaTaIN2
_chemical_formula_sum 'Na1 Ta1 I1 N2'
_cell_length_a 4.088
_cell_length_b 4.088
_cell_length_c 5.892
_cell_angle_alpha 90.00
_cell_angle_beta 90.00
_cell_angle_gamma 90.00
_space_group_name_H-M_alt 'P 1'
_space_group_IT_number 1
loop_
_space_group_symop_operation_xyz
'x,y,z'
loop_
_atom_site_label
_atom_site_type_symbol
_atom_site_fract_x
_atom_site_fract_y
_atom_site_fract_z
Na1 Na 0.000 0.000 0.000
Ta1 Ta 0.500 0.500 0.500
I1 I 0.500 0.500 0.000
N1 N 0.000 0.500 0.500
N2 N 0.500 0.000 0.500

=====

Run iii
# NaTaIN2 GGA-PBE optimized geometry
# symmetry: P4/mmm (123)
data_NaTaIN2
_chemical_formula_sum 'Na1 Ta1 I1 N2'
_cell_length_a 4.320
_cell_length_b 4.320
_cell_length_c 5.256
_cell_angle_alpha 90.00
_cell_angle_beta 90.00
_cell_angle_gamma 90.00
_space_group_name_H-M_alt 'P 1'
_space_group_IT_number 1
loop_
_space_group_symop_operation_xyz
'x,y,z'
loop_
_atom_site_label
_atom_site_type_symbol
_atom_site_fract_x
_atom_site_fract_y
_atom_site_fract_z
Na1 Na 0.000 0.000 0.000
Ta1 Ta 0.500 0.500 0.500
I1 I 0.000 0.000 0.500
N1 N 0.000 0.500 0.000
N2 N 0.500 0.000 0.000

=====

Which structure is most stable? run ii, by 2424 meV per atom over the runner-up.

=====

Run i
# NaTcI2N GGA-PBE optimized geometry
# symmetry: P4/mmm (123)
data_NaTcI2N
_chemical_formula_sum 'Na1 Tc1 I2 N1'
_cell_length_a 5.714
_cell_length_b 5.714
_cell_length_c 3.795
_cell_angle_alpha 90.00
_cell_angle_beta 90.00
_cell_angle_gamma 90.00
_space_group_name_H-M_alt 'P 1'
_space_group_IT_number 1
loop_
_space_group_symop_operation_xyz
'x,y,z'
loop_
_atom_site_label
_atom_site_type_symbol
_atom_site_fract_x
_atom_site_fract_y
_atom_site_fract_z
Na1 Na 0.000 0.000 0.000
Tc1 Tc 0.500 0.500 0.500
I1 I 0.000 0.500 0.500
I2 I 0.500 0.000 0.500
N1 N 0.500 0.500 0.000

=====

Run ii
# NaTcI2N GGA-PBE optimized geometry
# symmetry: P4/mmm (123)
data_NaTcI2N
_chemical_formula_sum 'Na1 Tc1 I2 N1'
_cell_length_a 5.681
_cell_length_b 5.681
_cell_length_c 4.214
_cell_angle_alpha 90.00
_cell_angle_beta 90.00
_cell_angle_gamma 90.00
_space_group_name_H-M_alt 'P 1'
_space_group_IT_number 1
loop_
_space_group_symop_operation_xyz
'x,y,z'
loop_
_atom_site_label
_atom_site_type_symbol
_atom_site_fract_x
_atom_site_fract_y
_atom_site_fract_z
Na1 Na 0.000 0.000 0.000
Tc1 Tc 0.500 0.500 0.500
I1 I 0.000 0.500 0.000
I2 I 0.500 0.000 0.000
N1 N 0.000 0.000 0.500

=====

Which structure is most stable? run i, by 1828 meV per atom over the runner-up.